1.
# MoOsI3, relaxed, DFT PBE-GGA
# formation energy from raw total energies	1398	meV per atom
# DOS at the Fermi energy	6.3	states/eV per cell
# space group	Pm-3m, No. 221
data_MoOsI3
_chemical_formula_sum 'Mo1 Os1 I3'
_cell_length_a 5.426
_cell_length_b 5.426
_cell_length_c 5.426
_cell_angle_alpha 90.00
_cell_angle_beta 90.00
_cell_angle_gamma 90.00
_space_group_name_H-M_alt 'P 1'
_space_group_IT_number 1
loop_
_space_group_symop_operation_xyz
'x,y,z'
loop_
_atom_site_label
_atom_site_type_symbol
_atom_site_fract_x
_atom_site_fract_y
_atom_site_fract_z
_atom_site_occupancy
I1 I 0.000 0.500 0.000 1
I2 I 0.000 0.000 0.500 1
I3 I 0.500 0.000 0.000 1
Mo1 Mo 0.500 0.500 0.500 1
Os1 Os 0.000 0.000 0.000 1



2.
# MoOsI3, relaxed, DFT PBE-GGA
# formation energy from raw total energies	1737	meV per atom
# DOS at the Fermi energy	10.4	states/eV per cell
# space group	Pm-3m, No. 221
data_MoOsI3
_chemical_formula_sum 'Mo1 Os1 I3'
_cell_length_a 5.308
_cell_length_b 5.308
_cell_length_c 5.308
_cell_angle_alpha 90.00
_cell_angle_beta 90.00
_cell_angle_gamma 90.00
_space_group_name_H-M_alt 'P 1'
_space_group_IT_number 1
loop_
_space_group_symop_operation_xyz
'x,y,z'
loop_
_atom_site_label
_atom_site_type_symbol
_atom_site_fract_x
_atom_site_fract_y
_atom_site_fract_z
_atom_site_occupancy
I1 I 0.000 0.500 0.000 1
I2 I 0.500 0.000 0.000 1
I3 I 0.000 0.000 0.500 1
Mo1 Mo 0.000 0.000 0.000 1
Os1 Os 0.500 0.500 0.500 1



3.
# MoOsI2, relaxed, DFT PBE-GGA
# formation energy from raw total energies	1431	meV per atom
# DOS at the Fermi energy	3.5	states/eV per cell
# space group	Fm-3m, No. 225
data_MoOsI2
_chemical_formula_sum 'Mo1 Os1 I2'
_cell_length_a 4.788
_cell_length_b 4.788
_cell_length_c 4.788
_cell_angle_alpha 60.00
_cell_angle_beta 60.00
_cell_angle_gamma 60.00
_space_group_name_H-M_alt 'P 1'
_space_group_IT_number 1
loop_
_space_group_symop_operation_xyz
'x,y,z'
loop_
_atom_site_label
_atom_site_type_symbol
_atom_site_fract_x
_atom_site_fract_y
_atom_site_fract_z
_atom_site_occupancy
I1 I 0.250 0.250 0.250 1
I2 I 0.750 0.750 0.750 1
Mo1 Mo 0.000 0.000 0.000 1
Os1 Os 0.500 0.500 0.500 1



| no. | magnetization (μB per atom) | distance to the lowest polymorph of the same formula (meV per atom) |
| --- | --- | --- |
| 1 | 0.7170 | 0.0 |
| 2 | 0.9795 | 338.9 |
| 3 | 0.0000 | 0.0 |